(1)
CaCdSi: optimized geometry, PBE-GGA.

Results
Energy: -3.06 eV per atom
E_form (uncorrected): -0.281 eV per atom
Magnetization: 0.0 μB/f.u.

Lattice parameters (Å, degrees): 5.889 5.892 5.889 79.03 132.88 82.58
Positions (direct):
1 Ca 0.082 0.474 0.664
2 Ca 0.166 0.889 0.164
3 Si 0.444 0.914 0.862
4 Si 0.805 0.053 0.362
5 Cd 0.473 0.280 0.466
6 Cd 0.775 0.478 0.967

=====

(2)
Pm3HoSc2: optimized geometry, PBE-GGA.

Results
Energy: -4.98 eV per atom
Calculated formation energy: 0.27 eV per atom
Magnetization: 0.0 μB/f.u.

Lattice parameters (Å, degrees): 5.501 8.726 8.726 112.03 90.00 90.00
Positions (direct):
1 Pm 0.993 0.889 0.377
2 Pm 0.493 0.623 0.111
3 Pm 0.993 0.377 0.889
4 Pm 0.493 0.111 0.623
5 Pm 0.493 0.907 0.907
6 Pm 0.993 0.093 0.093
7 Ho 0.993 0.722 0.722
8 Ho 0.493 0.278 0.278
9 Sc 0.493 0.697 0.489
10 Sc 0.993 0.511 0.303
11 Sc 0.493 0.489 0.697
12 Sc 0.993 0.303 0.511

=====

(3)
Co2MoC: optimized geometry, PBE-GGA.

Results
Energy: -8.26 eV per atom
Calculated formation energy: 0.31 eV per atom
Magnetization: 0.0 μB/f.u.

Lattice parameters (Å, degrees): 6.320 6.320 4.984 50.65 50.65 90.00
Positions (direct):
1 Mo 0.000 0.000 0.000
2 Mo 0.750 0.250 0.500
3 Co 0.517 0.125 0.250
4 Co 0.233 0.625 0.250
5 Co 0.375 0.483 0.750
6 Co 0.875 0.767 0.750
7 C 0.500 0.500 0.000
8 C 0.250 0.750 0.500

=====

(4)
MgTe2P: optimized geometry, PBE-GGA.

Results
Energy: -3.25 eV per atom
Polymorph energy (0 for the lowest one): 27.4 kJ per mole of atoms
E_form (uncorrected): 0.067 eV per atom
Magnetization: 0.0 μB/f.u.

Lattice parameters (Å, degrees): 9.958 9.958 9.958 157.43 157.43 32.13
Positions (direct):
1 Mg 0.500 0.500 0.000
2 P 0.750 0.250 0.500
3 Te 0.000 0.000 0.000
4 Te 0.250 0.750 0.500

=====

(5)
Sm3Cu5H12: optimized geometry, PBE-GGA.

Results
Energy: -3.95 eV per atom
Magnetization: 0.0 μB/f.u.

Lattice parameters (Å, degrees): 10.177 10.177 10.177 109.47 109.47 109.47
Positions (direct):
1 Sm 0.750 0.375 0.125
2 Sm 0.875 0.750 0.125
3 Sm 0.375 0.750 0.625
4 Sm 0.250 0.125 0.375
5 Sm 0.875 0.125 0.250
6 Sm 0.375 0.625 0.250
7 Sm 0.625 0.375 0.750
8 Sm 0.125 0.875 0.750
9 Sm 0.750 0.875 0.625
10 Sm 0.625 0.250 0.375
11 Sm 0.125 0.250 0.875
12 Sm 0.250 0.625 0.875
13 Cu 0.125 0.375 0.250
14 Cu 0.000 0.500 0.000
15 Cu 0.000 0.000 0.000
16 Cu 0.375 0.250 0.125
17 Cu 0.500 0.000 0.500
18 Cu 0.500 0.500 0.000
19 Cu 0.125 0.750 0.375
20 Cu 0.750 0.125 0.875
21 Cu 0.750 0.625 0.375
22 Cu 0.375 0.125 0.750
23 Cu 0.625 0.875 0.250
24 Cu 0.500 0.500 0.500
25 Cu 0.500 0.000 0.000
26 Cu 0.000 0.000 0.500
27 Cu 0.250 0.375 0.625
28 Cu 0.250 0.875 0.125
29 Cu 0.000 0.500 0.500
30 Cu 0.875 0.250 0.625
31 Cu 0.625 0.750 0.875
32 Cu 0.875 0.625 0.750
33 H 0.698 0.115 0.016
34 H 0.318 0.516 0.401
35 H 0.984 0.385 0.302
36 H 0.516 0.198 0.115
37 H 0.584 0.698 0.682
38 H 0.984 0.599 0.182
39 H 0.318 0.802 0.416
40 H 0.099 0.916 0.115
41 H 0.599 0.984 0.682
42 H 0.698 0.584 0.182
43 H 0.802 0.484 0.385
44 H 0.818 0.901 0.016
45 H 0.115 0.698 0.516
46 H 0.385 0.401 0.084
47 H 0.084 0.901 0.385
48 H 0.416 0.115 0.599
49 H 0.084 0.182 0.198
50 H 0.484 0.682 0.099
51 H 0.818 0.916 0.302
52 H 0.115 0.416 0.099
53 H 0.385 0.984 0.802
54 H 0.599 0.615 0.416
55 H 0.901 0.818 0.516
56 H 0.802 0.318 0.916
57 H 0.401 0.385 0.584
58 H 0.099 0.182 0.484
59 H 0.198 0.682 0.084
60 H 0.182 0.084 0.698
61 H 0.615 0.016 0.198
62 H 0.885 0.584 0.901
63 H 0.516 0.318 0.901
64 H 0.584 0.885 0.401
65 H 0.916 0.818 0.802
66 H 0.916 0.099 0.615
67 H 0.885 0.302 0.484
68 H 0.182 0.099 0.984
69 H 0.615 0.599 0.916
70 H 0.401 0.016 0.318
71 H 0.302 0.416 0.818
72 H 0.198 0.516 0.615
73 H 0.901 0.084 0.885
74 H 0.682 0.198 0.584
75 H 0.484 0.802 0.885
76 H 0.016 0.401 0.818
77 H 0.416 0.302 0.318
78 H 0.016 0.615 0.698
79 H 0.682 0.484 0.599
80 H 0.302 0.885 0.984

=====

(6)
Mo2SeCl: optimized geometry, PBE-GGA.

Results
Energy: -6.41 eV per atom
Polymorph energy (0 for the lowest one): 51.1 kJ per mole of atoms
E_form (uncorrected): 0.337 eV per atom
Magnetization: 0.0 μB/f.u.

Lattice parameters (Å, degrees): 4.382 4.382 5.273 77.48 77.48 41.17
Positions (direct):
1 Cl 0.250 0.250 0.250
2 Mo 0.003 0.003 0.981
3 Mo 0.497 0.497 0.519
4 Se 0.750 0.750 0.750

=====

(7)
Li3Tm2NpSe6: optimized geometry, PBE-GGA.

Results
Energy: -5.55 eV per atom
E_form (uncorrected): -1.510 eV per atom
Magnetization: 4.0 μB/f.u.

Lattice parameters (Å, degrees): 7.030 7.030 6.897 99.77 99.77 119.94
Positions (direct):
1 Li 0.168 0.832 0.500
2 Li 0.832 0.168 0.500
3 Li 0.500 0.500 0.500
4 Tm 0.334 0.666 0.000
5 Tm 0.666 0.334 0.000
6 Np 0.000 0.000 0.000
7 Se 0.916 0.576 0.748
8 Se 0.744 0.744 0.254
9 Se 0.084 0.424 0.252
10 Se 0.576 0.916 0.748
11 Se 0.256 0.256 0.746
12 Se 0.424 0.084 0.252

=====

(8)
MnCo3H3: optimized geometry, PBE-GGA.

Results
Energy: -5.81 eV per atom
Magnetization: 6.7 μB/f.u.

Lattice parameters (Å, degrees): 3.696 3.696 3.696 90.00 90.00 90.00
Positions (direct):
1 Mn 0.500 0.500 0.500
2 Co 0.000 0.500 0.000
3 Co 0.000 0.000 0.500
4 Co 0.500 0.000 0.000
5 H 0.500 0.000 0.500
6 H 0.500 0.500 0.000
7 H 0.000 0.500 0.500